Entry 1:
Material: LaV3Te
Method: DFT, PBE-GGA
State: optimized geometry

Values from the calculation:
- Fermi-level density of states: 12.333 states/eV/cell
- E: -6.22 eV per atom
- Total magnetic moment: 5.88 μB/f.u.
- E above lowest polymorph: 0.0 meV/atom

abc: 4.9794 4.9794 4.9794
angles: 90.00 90.00 90.00
Each line ends with the local moment (μB).
Sites, in units of the cell vectors:
Te 0.0000 0.0000 0.0000  -0.06
La 0.5000 0.5000 0.5000  0.06
V 0.0000 0.5000 0.0000  1.66
V 0.0000 0.0000 0.5000  1.66
V 0.5000 0.0000 0.0000  1.66

Entry 2:
Material: La2Hg2Ir
Method: DFT, PBE-GGA
State: optimized geometry

Values from the calculation:
- Fermi-level density of states: 9.953 states/eV/cell
- E: -4.06 eV per atom
- Total magnetic moment: 0.00 μB/f.u.
- E above lowest polymorph: 298.1 meV/atom

abc: 7.5336 7.5336 4.6063
angles: 90.00 90.00 90.00
Sites, in units of the cell vectors:
Ir 0.0000 0.0000 0.0000
Ir 0.5000 0.5000 0.0000
Hg 0.3638 0.8638 0.0000
Hg 0.8638 0.6362 0.0000
Hg 0.6362 0.1362 0.0000
Hg 0.1362 0.3638 0.0000
La 0.1739 0.6739 0.5000
La 0.6739 0.8261 0.5000
La 0.8261 0.3261 0.5000
La 0.3261 0.1739 0.5000

Entry 3:
Material: DyNi4B
Method: DFT, PBE-GGA
State: optimized geometry

Values from the calculation:
- Fermi-level density of states: 7.019 states/eV/cell
- E: -6.10 eV per atom
- Total magnetic moment: 0.00 μB/f.u.

abc: 3.4058 6.2993 6.9225
angles: 90.00 90.00 90.00
Sites, in units of the cell vectors:
Dy 0.0000 0.6049 0.7500
Dy 0.0000 0.3951 0.2500
Ni 0.0000 0.0000 0.5000
Ni 0.0000 0.0000 0.0000
Ni 0.5000 0.9563 0.7500
Ni 0.5000 0.0437 0.2500
Ni 0.5000 0.7157 0.0702
Ni 0.5000 0.2843 0.9298
Ni 0.5000 0.7157 0.4298
Ni 0.5000 0.2843 0.5702
B 0.0000 0.1724 0.7500
B 0.0000 0.8276 0.2500

Entry 4:
Material: Tb5Pr4Sc2
Method: DFT, PBE-GGA
State: optimized geometry

Values from the calculation:
- Fermi-level density of states: 16.258 states/eV/cell
- E: -4.95 eV per atom
- Total magnetic moment: 0.00 μB/f.u.
- E above lowest polymorph: 0.0 meV/atom

abc: 5.0453 7.9509 9.4370
angles: 75.33 105.50 90.00
Sites, in units of the cell vectors:
Tb 0.7734 0.6289 0.5468
Tb 0.2266 0.3711 0.4532
Tb 0.8647 0.1871 0.7294
Tb 0.5000 0.0000 0.0000
Tb 0.1353 0.8129 0.2706
Pr 0.3179 0.9044 0.6359
Pr 0.9563 0.7220 0.9125
Pr 0.6821 0.0956 0.3641
Pr 0.0437 0.2780 0.0875
Sc 0.4098 0.4525 0.8196
Sc 0.5902 0.5475 0.1804

Entry 5:
Material: CrMoHOs2
Method: DFT, PBE-GGA
State: optimized geometry

Values from the calculation:
- Fermi-level density of states: 4.176 states/eV/cell
- E: -9.07 eV per atom
- Total magnetic moment: 0.34 μB/f.u.
- E above lowest polymorph: 60.0 meV/atom

abc: 3.8781 3.8781 3.9307
angles: 90.00 90.00 90.00
Each line ends with the local moment (μB).
Sites, in units of the cell vectors:
Cr 0.5000 0.5000 0.5000  0.44
Mo 0.0000 0.0000 0.5000  -0.08
Os 0.0000 0.5000 0.0000  -0.02
Os 0.5000 0.0000 0.0000  -0.02
H 0.0000 0.0000 0.0000  0.00

Entry 6:
Material: USbAu4
Method: DFT, PBE-GGA
State: optimized geometry

Values from the calculation:
- Fermi-level density of states: 10.147 states/eV/cell
- E: -4.90 eV per atom
- Total magnetic moment: 2.17 μB/f.u.
- E above lowest polymorph: 0.0 meV/atom

abc: 4.8813 4.8813 6.1879
angles: 90.09 90.09 119.98
Each line ends with the local moment (μB).
Sites, in units of the cell vectors:
U 0.0000 0.5000 0.0000  2.09
Sb 0.0000 0.5000 0.5000  -0.03
Au 0.3326 0.1660 0.7569  -0.01
Au 0.6660 0.8326 0.7569  -0.01
Au 0.3340 0.1674 0.2431  -0.01
Au 0.6674 0.8340 0.2431  -0.01

Entry 7:
Material: Rb2NiGeSe4
Method: DFT, PBE-GGA
State: optimized geometry

Values from the calculation:
- Fermi-level density of states: 5.961 states/eV/cell
- E: -3.92 eV per atom
- Total magnetic moment: 2.02 μB/f.u.

abc: 6.4511 7.5809 12.4640
angles: 83.68 75.00 64.82
Each line ends with the local moment (μB).
Sites, in units of the cell vectors:
Rb 0.1805 0.0000 0.6390  0.00
Rb 0.8195 0.0000 0.3610  0.00
Rb 0.5695 0.5000 0.8610  0.00
Rb 0.9305 0.5000 0.1390  0.00
Ni 0.7500 0.5000 0.5000  1.12
Ni 0.0000 0.0000 0.0000  1.12
Ge 0.2500 0.5000 0.5000  -0.01
Ge 0.5000 0.0000 0.0000  -0.01
Se 0.2923 0.8152 0.1030  0.13
Se 0.2105 0.1848 0.8970  0.13
Se 0.8925 0.8152 0.8970  0.13
Se 0.6047 0.1848 0.1030  0.13
Se 0.4577 0.6848 0.3970  0.13
Se 0.5395 0.3152 0.6030  0.13
Se 0.8575 0.6848 0.6030  0.13
Se 0.1453 0.3152 0.3970  0.13

Entry 8:
Material: TmSc3Zn8
Method: DFT, PBE-GGA
State: optimized geometry

Values from the calculation:
- Fermi-level density of states: 8.889 states/eV/cell
- E: -3.14 eV per atom
- Total magnetic moment: 0.00 μB/f.u.

abc: 5.3010 5.3010 9.1417
angles: 73.15 73.15 60.00
Sites, in units of the cell vectors:
Tm 0.8757 0.8757 0.3730
Sc 0.3745 0.3745 0.8766
Sc 0.0011 0.0011 0.9966
Sc 0.4983 0.4983 0.5050
Zn 0.9398 0.4381 0.1840
Zn 0.4349 0.9373 0.6905
Zn 0.4381 0.4381 0.1840
Zn 0.9373 0.9373 0.6905
Zn 0.1873 0.1873 0.4381
Zn 0.6876 0.6876 0.9372
Zn 0.4381 0.9398 0.1840
Zn 0.9373 0.4349 0.6905

Entry 9:
Material: K3Na2Au7
Method: DFT, PBE-GGA
State: optimized geometry

Values from the calculation:
- Fermi-level density of states: 1.328 states/eV/cell
- E: -2.70 eV per atom
- Total magnetic moment: 0.00 μB/f.u.

abc: 5.7806 5.7806 10.4385
angles: 73.93 73.93 60.00
Sites, in units of the cell vectors:
K 0.0000 0.0000 0.0000
K 0.8573 0.8573 0.4281
K 0.1427 0.1427 0.5719
Na 0.6672 0.6672 0.9985
Na 0.3328 0.3328 0.0015
Au 0.5000 0.5000 0.5000
Au 0.9164 0.4175 0.2486
Au 0.4175 0.9164 0.2486
Au 0.4175 0.4175 0.2486
Au 0.0836 0.5825 0.7514
Au 0.5825 0.5825 0.7514
Au 0.5825 0.0836 0.7514

Entry 10:
Material: La7PmPr4
Method: DFT, PBE-GGA
State: optimized geometry

Values from the calculation:
- Fermi-level density of states: 22.611 states/eV/cell
- E: -4.85 eV per atom
- Total magnetic moment: 0.00 μB/f.u.
- E above lowest polymorph: 0.0 meV/atom

abc: 7.4302 9.8459 9.8349
angles: 69.08 78.94 40.90
Sites, in units of the cell vectors:
La 0.7479 0.5010 0.9993
La 0.2521 0.4990 0.0007
La 0.9995 0.3328 0.6677
La 0.0005 0.6672 0.3323
La 0.2502 0.8328 0.6671
La 0.5000 0.0000 0.0000
La 0.7498 0.1672 0.3329
Pm 0.0000 0.0000 0.0000
Pr 0.5004 0.6662 0.3328
Pr 0.4996 0.3338 0.6672
Pr 0.7507 0.8325 0.6668
Pr 0.2493 0.1675 0.3332

Entry 11:
Material: Rb5MnBr8
Method: DFT, PBE-GGA
State: optimized geometry

Values from the calculation:
- E: -3.34 eV per atom
- Total magnetic moment: 3.73 μB/f.u.

abc: 9.1347 9.1347 9.1347
angles: 112.53 103.52 112.53
Each line ends with the local moment (μB).
Sites, in units of the cell vectors:
Rb 0.0249 0.4213 0.1725  0.00
Rb 0.8275 0.8525 0.2488  0.00
Rb 0.7512 0.5787 0.6036  0.00
Rb 0.5000 0.0000 0.5000  0.00
Rb 0.3964 0.1475 0.9751  0.00
Mn 0.2500 0.5000 0.7500  3.68
Br 0.1694 0.6944 0.9331  -0.01
Br 0.0669 0.2363 0.7613  -0.01
Br 0.7195 0.1964 0.3067  -0.04
Br 0.6933 0.4129 0.8898  -0.04
Br 0.4769 0.5871 0.2805  -0.04
Br 0.5251 0.7637 0.8306  -0.01
Br 0.2387 0.3056 0.4749  -0.01
Br 0.1102 0.8036 0.5231  -0.04

Entry 12:
Material: Zr4ZnSb
Method: DFT, PBE-GGA
State: optimized geometry

Values from the calculation:
- Fermi-level density of states: 6.512 states/eV/cell
- E: -6.37 eV per atom
- Total magnetic moment: 0.00 μB/f.u.
- E above lowest polymorph: 576.8 meV/atom

abc: 5.7765 5.7765 5.7765
angles: 60.00 60.00 60.00
Sites, in units of the cell vectors:
Zr 0.8773 0.3742 0.3742
Zr 0.3742 0.3742 0.8773
Zr 0.3742 0.8773 0.3742
Zr 0.3742 0.3742 0.3742
Zn 0.0000 0.0000 0.0000
Sb 0.7500 0.7500 0.7500

Entry 13:
Material: ZnP2Os
Method: DFT, PBE-GGA
State: optimized geometry

Values from the calculation:
- Fermi-level density of states: 1.231 states/eV/cell
- E: -5.49 eV per atom
- Total magnetic moment: 0.00 μB/f.u.

abc: 4.8824 4.8824 4.8824
angles: 143.78 124.75 67.87
Sites, in units of the cell vectors:
Os 0.7765 0.2765 0.5000
P 0.0054 0.0054 0.0000
P 0.2310 0.7310 0.5000
Zn 0.4871 0.4871 0.0000

Entry 14:
Material: LaDy2Er
Method: DFT, PBE-GGA
State: optimized geometry

Values from the calculation:
- Fermi-level density of states: 6.323 states/eV/cell
- E: -4.64 eV per atom
- Total magnetic moment: 0.00 μB/f.u.
- E above lowest polymorph: 24.5 meV/atom

abc: 3.5899 3.5899 10.1416
angles: 90.00 90.00 90.00
Sites, in units of the cell vectors:
Dy 0.0000 0.0000 0.7583
Dy 0.0000 0.0000 0.2417
La 0.5000 0.5000 0.5000
Er 0.5000 0.5000 0.0000

Entry 15:
Material: Be2Au
Method: DFT, PBE-GGA
State: optimized geometry

Values from the calculation:
- Fermi-level density of states: 0.828 states/eV/cell
- E: -3.50 eV per atom
- Total magnetic moment: 0.00 μB/f.u.

abc: 3.8809 3.8809 2.6821
angles: 90.00 90.00 120.00
Sites, in units of the cell vectors:
Be 0.6667 0.3333 0.4804
Be 0.3333 0.6667 0.5196
Au 0.0000 0.0000 0.0000

Entry 16:
Material: Sr2HoMg12Cd3
Method: DFT, PBE-GGA
State: optimized geometry

Values from the calculation:
- Fermi-level density of states: 9.650 states/eV/cell
- E: -1.46 eV per atom
- Total magnetic moment: 0.00 μB/f.u.

abc: 9.7624 9.7624 9.7624
angles: 53.68 53.68 53.68
Sites, in units of the cell vectors:
Sr 0.5808 0.5808 0.5808
Sr 0.4192 0.4192 0.4192
Ho 0.0000 0.0000 0.0000
Mg 0.2177 0.2177 0.8631
Mg 0.8245 0.8245 0.4495
Mg 0.4495 0.8245 0.8245
Mg 0.8631 0.2177 0.2177
Mg 0.8245 0.4495 0.8245
Mg 0.2177 0.8631 0.2177
Mg 0.7823 0.7823 0.1369
Mg 0.1755 0.1755 0.5505
Mg 0.5505 0.1755 0.1755
Mg 0.1369 0.7823 0.7823
Mg 0.1755 0.5505 0.1755
Mg 0.7823 0.1369 0.7823
Cd 0.5000 0.0000 0.0000
Cd 0.0000 0.5000 0.0000
Cd 0.0000 0.0000 0.5000

Entry 17:
Material: K2NpTlCl6
Method: DFT, PBE-GGA
State: optimized geometry

Values from the calculation:
- Fermi-level density of states: 11.318 states/eV/cell
- E: -4.56 eV per atom
- Total magnetic moment: 4.00 μB/f.u.

abc: 7.6017 8.1396 11.0042
angles: 90.00 89.38 90.00
Each line ends with the local moment (μB).
Sites, in units of the cell vectors:
K 0.0302 0.9233 0.2515  0.00
K 0.5302 0.5767 0.7515  0.00
K 0.9698 0.0767 0.7485  0.00
K 0.4698 0.4233 0.2485  0.00
Np 0.5000 0.0000 0.5000  3.95
Np 0.0000 0.5000 0.0000  3.95
Tl 0.5000 0.0000 0.0000  0.00
Tl 0.0000 0.5000 0.5000  0.00
Cl 0.2864 0.6793 0.0681  -0.01
Cl 0.7864 0.8207 0.5681  -0.01
Cl 0.7136 0.3207 0.9319  -0.01
Cl 0.2136 0.1793 0.4319  -0.01
Cl 0.3358 0.7190 0.4218  -0.01
Cl 0.8358 0.7810 0.9218  -0.01
Cl 0.6642 0.2810 0.5782  -0.01
Cl 0.1642 0.2190 0.0782  -0.01
Cl 0.8602 0.5652 0.2264  -0.01
Cl 0.3602 0.9348 0.7264  -0.01
Cl 0.1398 0.4348 0.7736  -0.01
Cl 0.6398 0.0652 0.2736  -0.01

Entry 18:
Material: AcHfGa2
Method: DFT, PBE-GGA
State: optimized geometry

Values from the calculation:
- Fermi-level density of states: 3.625 states/eV/cell
- E: -5.14 eV per atom
- Total magnetic moment: 0.00 μB/f.u.
- E above lowest polymorph: 220.3 meV/atom

abc: 3.7038 3.7038 8.8881
angles: 77.97 77.97 60.00
Sites, in units of the cell vectors:
Ac 0.5000 0.5000 0.5000
Hf 0.0000 0.0000 0.0000
Ga 0.7382 0.7382 0.7853
Ga 0.2618 0.2618 0.2147

Entry 19:
Material: FeAgSn6
Method: DFT, PBE-GGA
State: optimized geometry

Values from the calculation:
- Fermi-level density of states: 5.272 states/eV/cell
- E: -4.25 eV per atom
- Total magnetic moment: 1.07 μB/f.u.

abc: 5.7428 5.7428 6.3331
angles: 94.86 94.86 102.31
Each line ends with the local moment (μB).
Sites, in units of the cell vectors:
Fe 0.5000 0.5000 0.5000  1.24
Ag 0.0000 0.0000 0.0000  0.00
Sn 0.1853 0.1853 0.6275  -0.03
Sn 0.5903 0.2105 0.1973  -0.02
Sn 0.8147 0.8147 0.3725  -0.03
Sn 0.7895 0.4097 0.8027  -0.02
Sn 0.4097 0.7895 0.8027  -0.02
Sn 0.2105 0.5903 0.1973  -0.02